DFT (GGA+U) results for CsNiF after structural relaxation.

The space group is Pnma (No. 62) and the conventional cell measures 9.175, 4.053 and 8.440 Å, with angles of 90.00, 90.00 and 90.00 degrees. The distinct sites, in fractional coordinates, are Cs at (0.167, 0.250, 0.150), Ni at (0.022, 0.250, 0.577) and F at (0.085, 0.250, 0.807).

The calculation puts the final energy at -0.211 Ry per atom. The total magnetization comes out at 4.000 μB/cell.